Compound: KNiRu2
Source: Alexandria
Functional: meta-GGA SCAN
Structure: single point on PBEsol structure

abc: 2.5769 3.5535 7.7921
angles: 90.00 90.00 90.00
Last column: nearest neighbours and their distance in Å.
Sites, in units of the cell vectors:
K1 0.0000 0.0000 0.0000  2 K 2.58
Ni1 0.0000 0.0000 0.5000  8 Ru 2.51, 2 Ni 2.58
Ru1 0.5000 0.5000 0.3428  3 Ru 2.45-2.58, 4 Ni 2.51
Ru2 0.5000 0.5000 0.6572  3 Ru 2.45-2.58, 4 Ni 2.51

Properties
E above lowest polymorph = 144.5 meV per atom
energy of formation from the pure elements = 0.865 eV per atom
V = 17.8 Å³ per atom
final energy = -0.8332 hartree per atom

---

Compound: K2Ni3S4
Source: Alexandria
Functional: meta-GGA SCAN
Structure: single point on PBEsol structure

abc: 13.7420 13.1273 5.7085
angles: 83.84 71.76 24.39
Last column: nearest neighbours and their distance in Å.
Sites, in units of the cell vectors:
K1 0.0470 0.0470 0.2030  8 S 3.31-3.39, 6 Ni 3.47-3.50
K2 0.2030 0.2030 0.0470  8 S 3.31-3.39, 6 Ni 3.47-3.50
K3 0.7970 0.7970 0.9530  8 S 3.31-3.39, 6 Ni 3.47-3.50
K4 0.9530 0.9530 0.7970  8 S 3.31-3.39, 6 Ni 3.47-3.50
Ni1 0.1258 0.1258 0.6242  4 S 2.18
Ni2 0.3750 0.3750 0.3750  4 S 2.18
Ni3 0.3758 0.3758 0.8742  4 S 2.18
Ni4 0.6242 0.6242 0.1258  4 S 2.18
Ni5 0.6250 0.6250 0.6250  4 S 2.18
Ni6 0.8742 0.8742 0.3758  4 S 2.18
S1 0.1571 0.4811 0.2603  3 Ni 2.18
S2 0.2603 0.6015 0.1571  3 Ni 2.18
S3 0.3985 0.7397 0.5189  3 Ni 2.18
S4 0.4811 0.1571 0.6015  3 Ni 2.18
S5 0.5189 0.8429 0.3985  3 Ni 2.18
S6 0.6015 0.2603 0.4811  3 Ni 2.18
S7 0.7397 0.3985 0.8429  3 Ni 2.18
S8 0.8429 0.5189 0.7397  3 Ni 2.18

Properties
V = 20.0 Å³ per atom
formation energy (no corrections) = -0.8698 eV/atom
final energy = -0.4554 hartree per atom

---

Compound: KNiS2
Source: Alexandria
Functional: meta-GGA SCAN
Structure: single point on PBEsol structure

abc: 6.0327 6.0327 6.0327
angles: 110.42 110.42 107.59
Last column: nearest neighbours and their distance in Å.
Sites, in units of the cell vectors:
K1 0.0000 0.0000 0.0000  8 S 3.20-3.30, 2 Ni 3.56
K2 0.7500 0.2500 0.5000  8 S 3.20-3.30, 2 Ni 3.56
Ni1 0.2500 0.7500 0.5000  4 S 2.14
Ni2 0.5000 0.5000 0.0000  4 S 2.14
S1 0.2446 0.6250 0.1196  2 Ni 2.14
S2 0.3750 0.4946 0.6196  2 Ni 2.14
S3 0.5054 0.1250 0.8804  2 Ni 2.14
S4 0.8750 0.7554 0.3804  2 Ni 2.14

Properties
V = 21.1 Å³ per atom
formation energy (no corrections) = -0.7122 eV/atom
final energy = -0.4282 hartree per atom

---

Compound: KNiSeS2
Source: Alexandria
Functional: meta-GGA SCAN
Structure: single point on PBEsol structure

abc: 5.3101 5.3101 4.3084
angles: 90.00 90.00 90.00
Last column: nearest neighbours and their distance in Å.
Sites, in units of the cell vectors:
K1 0.0000 0.0000 0.0000  2 Ni 2.15
Ni1 0.0000 0.0000 0.5000  2 K 2.15
Se1 0.5000 0.5000 0.5000  8 S 3.42, 4 Ni 3.75
S1 0.0000 0.5000 0.0000  2 K 2.66
S2 0.5000 0.0000 0.0000  2 K 2.66

Properties
V = 24.3 Å³ per atom
formation energy (no corrections) = 1.6365 eV/atom
final energy = -0.4091 hartree per atom

---

Compound: K2NiSb
Source: Alexandria
Functional: meta-GGA SCAN
Structure: single point on PBEsol structure

abc: 4.2570 4.2570 5.3547
angles: 90.00 90.00 90.00
Last column: nearest neighbours and their distance in Å.
Sites, in units of the cell vectors:
K1 0.0000 0.5000 0.0000  4 K 3.01
K2 0.5000 0.0000 0.0000  4 K 3.01
Ni1 0.0000 0.0000 0.5000  4 Sb 3.01
Sb1 0.5000 0.5000 0.5000  4 Ni 3.01

Properties
V = 24.3 Å³ per atom
formation energy (no corrections) = 0.2398 eV/atom
final energy = -0.6351 hartree per atom

---

Compound: KNiSb2Se
Source: Alexandria
Functional: meta-GGA SCAN
Structure: single point on PBEsol structure

abc: 5.7099 5.7099 4.2671
angles: 90.00 90.00 90.00
Last column: nearest neighbours and their distance in Å.
Sites, in units of the cell vectors:
K1 0.0000 0.0000 0.0000  8 Sb 3.56
Ni1 0.5000 0.5000 0.0000  2 Se 2.13
Sb1 0.0000 0.5000 0.5000  2 Se 2.85
Sb2 0.5000 0.0000 0.5000  2 Se 2.85
Se1 0.5000 0.5000 0.5000  2 Ni 2.13

Properties
V = 27.8 Å³ per atom
formation energy (no corrections) = 0.3249 eV/atom
final energy = -0.8634 hartree per atom

---

Compound: KNiSbTe2
Source: Alexandria
Functional: meta-GGA SCAN
Structure: single point on PBEsol structure

abc: 5.7530 5.7530 5.6135
angles: 90.00 90.00 90.00
Last column: nearest neighbours and their distance in Å.
Sites, in units of the cell vectors:
K1 0.0000 0.0000 0.0000  2 Sb 2.81, 4 Te 2.88
Ni1 0.5000 0.5000 0.5000  8 Te 4.02, 4 Sb 4.07
Sb1 0.0000 0.0000 0.5000  2 K 2.81
Te1 0.0000 0.5000 0.0000  2 K 2.88
Te2 0.5000 0.0000 0.0000  2 K 2.88

Properties
V = 37.2 Å³ per atom
formation energy (no corrections) = 1.6570 eV/atom
final energy = -0.9406 hartree per atom

---

Compound: KScNi
Source: Alexandria
Functional: meta-GGA SCAN
Structure: single point on PBEsol structure

abc: 7.4317 7.4317 7.4317
angles: 154.46 154.46 36.43
Last column: nearest neighbours and their distance in Å.
Sites, in units of the cell vectors:
K1 0.0000 0.0000 0.0000  4 K 3.29, 4 Ni 3.38, 1 Sc 3.54
Sc1 0.7490 0.7490 0.0000  4 Ni 2.56
Ni1 0.3259 0.3259 0.0000  4 Sc 2.56

Properties
energy of formation from the pure elements = 0.213 eV per atom
V = 25.4 Å³ per atom
final energy = -0.4667 hartree per atom

---

Compound: K2Ni3Se4
Source: Alexandria
Functional: meta-GGA SCAN
Structure: single point on PBEsol structure

abc: 13.9864 13.3293 5.9749
angles: 83.60 71.28 25.12
Last column: nearest neighbours and their distance in Å.
Sites, in units of the cell vectors:
K1 0.0513 0.0513 0.1987  8 Se 3.44-3.49, 6 Ni 3.54-3.56, 1 K 3.83
K2 0.1987 0.1987 0.0513  8 Se 3.44-3.49, 6 Ni 3.54-3.56, 1 K 3.83
K3 0.8013 0.8013 0.9487  8 Se 3.44-3.49, 6 Ni 3.54-3.56, 1 K 3.83
K4 0.9487 0.9487 0.8013  8 Se 3.44-3.49, 6 Ni 3.54-3.56, 1 K 3.83
Ni1 0.1260 0.1260 0.6240  4 Se 2.30-2.31
Ni2 0.3750 0.3750 0.3750  4 Se 2.31
Ni3 0.3760 0.3760 0.8740  4 Se 2.30-2.31
Ni4 0.6240 0.6240 0.1260  4 Se 2.30-2.31
Ni5 0.6250 0.6250 0.6250  4 Se 2.31
Ni6 0.8740 0.8740 0.3760  4 Se 2.30-2.31
Se1 0.1543 0.4776 0.2623  3 Ni 2.30-2.31
Se2 0.2623 0.6057 0.1543  3 Ni 2.30-2.31
Se3 0.3943 0.7377 0.5224  3 Ni 2.30-2.31
Se4 0.4776 0.1543 0.6057  3 Ni 2.30-2.31
Se5 0.5224 0.8457 0.3943  3 Ni 2.30-2.31
Se6 0.6057 0.2623 0.4776  3 Ni 2.30-2.31
Se7 0.7377 0.3943 0.8457  3 Ni 2.30-2.31
Se8 0.8457 0.5224 0.7377  3 Ni 2.30-2.31

Properties
V = 22.3 Å³ per atom
formation energy (no corrections) = -0.7323 eV/atom
final energy = -0.6210 hartree per atom

---

Compound: KNiSe2
Source: Alexandria
Functional: meta-GGA SCAN
Structure: single point on PBEsol structure

abc: 4.9252 3.6732 5.6576
angles: 90.00 90.49 90.00
Last column: nearest neighbours and their distance in Å.
Sites, in units of the cell vectors:
K1 0.0000 0.0000 0.0000  8 Se 3.40, 2 K 3.67, 4 Ni 3.73-3.77
Ni1 0.5000 0.0000 0.5000  4 Se 2.29
Se1 0.4981 0.5000 0.7426  2 Ni 2.29
Se2 0.5019 0.5000 0.2574  2 Ni 2.29

Properties
V = 25.6 Å³ per atom
formation energy (no corrections) = -0.6609 eV/atom
final energy = -0.6183 hartree per atom

---

Compound: KSi2Ni
Source: Alexandria
Functional: meta-GGA SCAN
Structure: single point on PBEsol structure

abc: 6.6753 6.6753 6.6753
angles: 33.74 33.74 33.74
Last column: nearest neighbours and their distance in Å.
Sites, in units of the cell vectors:
K1 0.0000 0.0000 0.0000  1 Ni 3.29, 6 Si 3.34-3.43
Si1 0.1956 0.1956 0.1956  3 Ni 2.34, 3 Si 2.54
Si2 0.4649 0.4649 0.4649  3 Ni 2.30, 3 Si 2.54
Ni1 0.8259 0.8259 0.8259  6 Si 2.30-2.34

Properties
E above lowest polymorph = 0.0 meV per atom
V = 20.4 Å³ per atom
formation energy (no corrections) = -0.1575 eV/atom
final energy = -0.4149 hartree per atom

---

Compound: KSi2Ni
Source: Alexandria
Functional: meta-GGA SCAN
Structure: single point on PBEsol structure

abc: 2.9033 2.9033 7.8944
angles: 90.00 90.00 90.00
Last column: nearest neighbours and their distance in Å.
Sites, in units of the cell vectors:
K1 0.0000 0.0000 0.0000  4 K 2.90
Si1 0.5000 0.5000 0.3306  4 Ni 2.45, 1 Si 2.67
Si2 0.5000 0.5000 0.6694  4 Ni 2.45, 1 Si 2.67
Ni1 0.0000 0.0000 0.5000  8 Si 2.45

Properties
E above lowest polymorph = 153.6 meV per atom
V = 16.6 Å³ per atom
formation energy (no corrections) = -0.0039 eV/atom
final energy = -0.4093 hartree per atom

---

Compound: KSi2Ni
Source: Alexandria
Functional: meta-GGA SCAN
Structure: single point on PBEsol structure

abc: 4.5183 4.5183 4.5183
angles: 60.00 60.00 60.00
Last column: nearest neighbours and their distance in Å.
Sites, in units of the cell vectors:
K1 0.0000 0.0000 0.0000  4 Ni 2.77, 4 Si 2.77
Si1 0.2500 0.2500 0.2500  4 K 2.77, 4 Si 2.77
Si2 0.5000 0.5000 0.5000  4 Ni 2.77, 4 Si 2.77
Ni1 0.7500 0.7500 0.7500  4 K 2.77, 4 Si 2.77

Properties
E above lowest polymorph = 1057.0 meV per atom
V = 16.3 Å³ per atom
formation energy (no corrections) = 0.8996 eV/atom
final energy = -0.3761 hartree per atom

---

Compound: KSi2Ni
Source: Alexandria
Functional: meta-GGA SCAN
Structure: single point on PBEsol structure

abc: 3.8703 3.8703 4.4898
angles: 90.00 90.00 90.00
Last column: nearest neighbours and their distance in Å.
Sites, in units of the cell vectors:
K1 0.0000 0.0000 0.0000  4 Ni 2.74, 8 Si 2.96
Si1 0.0000 0.5000 0.5000  4 Si 2.74, 4 K 2.96, 4 Ni 2.96
Si2 0.5000 0.0000 0.5000  4 Si 2.74, 4 K 2.96, 4 Ni 2.96
Ni1 0.5000 0.5000 0.0000  4 K 2.74, 8 Si 2.96

Properties
E above lowest polymorph = 1078.1 meV per atom
V = 16.8 Å³ per atom
formation energy (no corrections) = 0.9206 eV/atom
final energy = -0.3753 hartree per atom

---

Compound: KSi2Ni
Source: Alexandria
Functional: meta-GGA SCAN
Structure: single point on PBEsol structure

abc: 9.2179 9.2179 9.2179
angles: 18.16 18.16 18.16
Last column: nearest neighbours and their distance in Å.
Sites, in units of the cell vectors:
K1 0.0000 0.0000 0.0000  6 K 2.91
Si1 0.2294 0.2294 0.2294  3 Ni 2.39
Si2 0.7706 0.7706 0.7706  3 Ni 2.39
Ni1 0.5000 0.5000 0.5000  6 Si 2.39

Properties
E above lowest polymorph = 413.1 meV per atom
V = 16.6 Å³ per atom
formation energy (no corrections) = 0.2556 eV/atom
final energy = -0.3998 hartree per atom

---

Compound: KSiNi
Source: Alexandria
Functional: meta-GGA SCAN
Structure: single point on PBEsol structure

abc: 6.2573 6.2573 6.2573
angles: 155.45 145.33 42.94
Last column: nearest neighbours and their distance in Å.
Sites, in units of the cell vectors:
K1 0.0000 0.0000 0.0000  2 K 2.66
Si1 0.2692 0.2692 0.0000  4 Ni 2.32
Ni1 0.7380 0.7380 0.0000  4 Si 2.32

Properties
V = 19.3 Å³ per atom
formation energy (no corrections) = 0.0404 eV/atom
final energy = -0.4213 hartree per atom

---

Compound: KNi2Sn2
Source: Alexandria
Functional: meta-GGA SCAN
Structure: single point on PBEsol structure

abc: 5.9437 5.9437 5.9437
angles: 135.18 135.18 65.25
Last column: nearest neighbours and their distance in Å.
Sites, in units of the cell vectors:
K1 0.0000 0.0000 0.0000  8 Sn 3.38, 8 Ni 3.43
Ni1 0.3789 0.3789 0.0000  1 Ni 2.42, 4 Sn 2.61
Ni2 0.6211 0.6211 0.0000  1 Ni 2.42, 4 Sn 2.61
Sn1 0.2500 0.7500 0.5000  4 Ni 2.61
Sn2 0.7500 0.2500 0.5000  4 Ni 2.61

Properties
energy of formation from the pure elements = 0.065 eV per atom
V = 20.6 Å³ per atom
final energy = -0.8246 hartree per atom

---

Compound: KSr3Ni
Source: Alexandria
Functional: meta-GGA SCAN
Structure: single point on PBEsol structure

abc: 5.9498 5.9498 5.9498
angles: 90.00 90.00 90.00
Last column: nearest neighbours and their distance in Å.
Sites, in units of the cell vectors:
K1 0.0000 0.0000 0.0000  12 Sr 4.21
Sr1 0.0000 0.5000 0.5000  2 Ni 2.97
Sr2 0.5000 0.0000 0.5000  2 Ni 2.97
Sr3 0.5000 0.5000 0.0000  2 Ni 2.97
Ni1 0.5000 0.5000 0.5000  6 Sr 2.97

Properties
energy of formation from the pure elements = 0.080 eV per atom
V = 42.1 Å³ per atom
final energy = -0.6683 hartree per atom

---

Compound: KSr2Ni
Source: Alexandria
Functional: meta-GGA SCAN
Structure: single point on PBEsol structure

abc: 4.0182 9.6530 9.6530
angles: 25.90 90.00 90.00
Last column: nearest neighbours and their distance in Å.
Sites, in units of the cell vectors:
K1 0.0000 0.0000 0.0000  2 Ni 3.66, 2 Sr 3.89, 2 K 4.02
Sr1 0.0000 0.6721 0.6721  4 Ni 2.96
Sr2 0.5000 0.3152 0.3152  1 Ni 2.87
Ni1 0.5000 0.1629 0.1629  5 Sr 2.87-2.96

Properties
E above lowest polymorph = 0.0 meV per atom
energy of formation from the pure elements = 0.264 eV per atom
V = 40.9 Å³ per atom
final energy = -0.6247 hartree per atom

---

Compound: KSr2Ni
Source: Alexandria
Functional: meta-GGA SCAN
Structure: single point on PBEsol structure

abc: 5.6892 5.6892 5.6892
angles: 60.00 60.00 60.00
Last column: nearest neighbours and their distance in Å.
Sites, in units of the cell vectors:
K1 0.0000 0.0000 0.0000  8 Sr 3.48
Sr1 0.2500 0.2500 0.2500  4 K 3.48, 4 Ni 3.48
Sr2 0.7500 0.7500 0.7500  4 K 3.48, 4 Ni 3.48
Ni1 0.5000 0.5000 0.5000  8 Sr 3.48

Properties
E above lowest polymorph = 222.9 meV per atom
energy of formation from the pure elements = 0.487 eV per atom
V = 32.6 Å³ per atom
final energy = -0.6165 hartree per atom